Record 1
Density functional theory data (PBE-GGA) for a relaxed structure of MgCdBr2.

a = 4.227 Å, b = 3.632 Å, c = 9.910 Å
α = 90.00°, β = 100.51°, γ = 90.00°
Sites, in units of the cell vectors:
Mg1 0.000 0.000 0.000
Cd1 0.500 0.000 0.500
Br1 0.154 0.500 0.840
Br2 0.846 0.500 0.160

raw total energy = -2.276 eV/atom
energy relative to the elements, uncorrected = -0.812 eV/atom
relative energy among the computed polymorphs = 162 meV per atom
V = 37.40 Å³/atom
space group = P2/m, No. 10
mass density = 3.29 Mg/m³

***

Record 2
Density functional theory data (PBE-GGA) for a relaxed structure of MgCd2Br.

a = 3.556 Å, b = 3.533 Å, c = 8.376 Å
α = 90.00°, β = 90.22°, γ = 90.00°
Sites, in units of the cell vectors:
Mg1 0.000 0.000 0.000
Cd1 0.498 0.500 0.781
Cd2 0.995 0.000 0.566
Br1 0.014 0.500 0.228

raw total energy = -1.613 eV/atom
energy relative to the elements, uncorrected = -0.338 eV/atom
relative energy among the computed polymorphs = 42 meV per atom
V = 26.31 Å³/atom
space group = Pm, No. 6
mass density = 5.19 Mg/m³

***

Please write out number 2 again, unchanged.
Density functional theory data (PBE-GGA) for a relaxed structure of MgCd2Br.

a = 3.556 Å, b = 3.533 Å, c = 8.376 Å
α = 90.00°, β = 90.22°, γ = 90.00°
Sites, in units of the cell vectors:
Mg1 0.000 0.000 0.000
Cd1 0.498 0.500 0.781
Cd2 0.995 0.000 0.566
Br1 0.014 0.500 0.228

raw total energy = -1.613 eV/atom
energy relative to the elements, uncorrected = -0.338 eV/atom
relative energy among the computed polymorphs = 42 meV per atom
V = 26.31 Å³/atom
space group = Pm, No. 6
mass density = 5.19 Mg/m³

***

> Which of these has the lowest mass density?

MgCdBr2

***

> Number 2 is which compound?

MgCd2Br

***

> What is the energy relative to the elements, uncorrected in the second record?

-0.338 eV/atom